NdHoTmCd: optimized geometry, PBE.

extended XYZ file:
```
4
Lattice="3.6065 0.0000 0.0000 0.0000 3.6065 0.0000 0.0000 0.0000 9.0119" Properties=species:S:1:pos:R:3 pbc="T T T"
Nd 0.0000 0.0000 0.6562
Ho 1.8033 1.8033 7.1366
Tm 1.8033 1.8033 3.1659
Cd 0.0000 0.0000 5.1248
```

Results
M_tot in μB/cell: 0.000
Theoretical density in kg/m³: 8365
Distance to the lowest polymorph of the same formula in eV per formula unit: 0.000
Energy of formation in eV/atom: -0.149

NdHoZnCd: optimized geometry, PBE.

extended XYZ file:
```
4
Lattice="3.6373 0.0000 0.0000 0.0000 3.6373 0.0000 0.0000 0.0000 7.6776" Properties=species:S:1:pos:R:3 pbc="T T T"
Nd 1.8187 1.8187 0.9681
Ho 1.8187 1.8187 4.5048
Zn 0.0000 0.0000 2.8799
Cd 0.0000 0.0000 6.4494
```

Results
M_tot in μB/cell: 0.000
Theoretical density in kg/m³: 7961
Distance to the lowest polymorph of the same formula in eV per formula unit: 0.000
Energy of formation in eV/atom: -0.324

NdHoZnCd: optimized geometry, PBE.

extended XYZ file:
```
4
Lattice="-0.5273 4.2226 -3.0860 0.7828 -0.4169 -5.1812 -4.0696 0.3452 -3.3092" Properties=species:S:1:pos:R:3 pbc="T T T"
Zn -0.9535 1.0377 -2.8941
Nd 0.0000 0.0000 0.0000
Ho -1.9070 2.0755 -5.7882
Cd -2.8606 3.1132 -8.6823
```

Results
M_tot in μB/cell: 0.096
Theoretical density in kg/m³: 7874
Distance to the lowest polymorph of the same formula in eV per formula unit: 0.116
Energy of formation in eV/atom: -0.295

HoCdNi5: optimized geometry, PBE.

extended XYZ file:
```
28
Lattice="4.8259 0.0000 0.0000 0.0000 8.0728 0.0000 0.0000 0.0000 10.2938" Properties=species:S:1:pos:R:3 pbc="T T T"
Ho 1.2065 2.0080 9.6660
Ho 3.6194 2.0284 4.5191
Ho 1.2065 6.0444 5.7747
Ho 3.6194 6.0648 0.6278
Cd 1.2065 6.9764 8.8920
Cd 3.6194 5.1328 3.7452
Cd 1.2065 2.9400 6.5486
Cd 3.6194 1.0964 1.4017
Ni 1.2065 4.6935 0.1721
Ni 3.6194 7.4157 5.3190
Ni 1.2065 0.6571 4.9748
Ni 3.6194 3.3793 10.1217
Ni 3.6194 2.5140 7.8312
Ni 1.2065 1.5224 2.6843
Ni 3.6194 6.5504 7.6095
Ni 1.2065 5.5588 2.4626
Ni 1.2065 7.6893 1.1220
Ni 3.6194 4.4199 6.2689
Ni 1.2065 3.6529 4.0249
Ni 3.6194 0.3835 9.1718
Ni 4.8246 3.4860 1.9256
Ni 0.0014 0.5504 7.0725
Ni 2.4143 7.5224 3.2213
Ni 2.4116 4.5868 8.3682
Ni 0.0014 4.5868 8.3682
Ni 4.8246 7.5224 3.2213
Ni 2.4116 0.5504 7.0725
Ni 2.4143 3.4860 1.9256
```

Results
M_tot in μB/cell: 3.230
Theoretical density in kg/m³: 9454
Energy of formation in eV/atom: -0.253

HoCd2Ni: optimized geometry, PBE.

extended XYZ file:
```
4
Lattice="-2.4114 -1.7681 0.9852 -0.1530 -0.9185 3.0074 -6.1377 7.6068 3.6588" Properties=species:S:1:pos:R:3 pbc="T T T"
Ni -4.3510 2.4602 3.8257
Ho 0.0000 0.0000 0.0000
Cd -4.5220 5.0065 2.9468
Cd -4.1801 -0.0862 4.7046
```

Results
M_tot in μB/cell: 0.000
Theoretical density in kg/m³: 8441
Energy of formation in eV/atom: 0.310

HoCdNi: optimized geometry, PBE.

extended XYZ file:
```
9
Lattice="-5.5758 2.6302 0.0042 1.1454 -4.8097 3.6828 1.6640 3.5271 4.0844" Properties=species:S:1:pos:R:3 pbc="T T T"
Ni -3.7442 3.7115 4.8362
Ni -0.7358 -3.2063 4.3605
Ni -1.8855 0.4259 4.3041
Cd -3.0679 -2.1030 4.3671
Cd -3.2661 1.6955 6.3735
Cd -0.0306 1.3395 2.7599
Ho -4.3633 1.0444 3.4801
Ho -0.9465 -0.9478 6.4084
Ho -1.8865 -0.9279 1.5700
```

Results
M_tot in μB/cell: 0.000
Theoretical density in kg/m³: 9008
Energy of formation in eV/atom: -0.196

Ho4Cd3Ni: optimized geometry, PBE.

extended XYZ file:
```
8
Lattice="-0.9852 0.7261 -3.2176 -2.1074 -2.7219 0.0310 -11.9841 9.3442 5.7778" Properties=species:S:1:pos:R:3 pbc="T T T"
Ni -1.5463 -0.9979 -1.5933
Ho -10.7962 8.4179 5.2051
Ho -1.1880 0.9263 0.5727
Ho -4.3904 3.4233 2.1167
Ho -7.5937 5.9209 3.6611
Cd -4.3596 1.1957 -0.2369
Cd -7.5383 3.6742 1.2956
Cd -10.7170 6.1527 2.8281
```

Results
M_tot in μB/cell: 0.186
Theoretical density in kg/m³: 9098
Energy of formation in eV/atom: -0.334

Ho2Cd3Ni2: optimized geometry, PBE.

extended XYZ file:
```
7
Lattice="3.8950 0.0000 0.0000 -1.9475 5.0082 0.1024 0.0000 -1.0226 7.3431" Properties=species:S:1:pos:R:3 pbc="T T T"
Ho 1.9475 0.8701 2.6800
Ho 0.0000 3.1154 4.7655
Cd 0.0000 2.9558 1.1297
Cd 0.0000 0.0000 0.0000
Cd 1.9475 1.0297 6.3159
Ni 0.0000 0.1787 4.6629
Ni 1.9475 3.8069 2.7826
```

Results
M_tot in μB/cell: 0.000
Theoretical density in kg/m³: 9068
Distance to the lowest polymorph of the same formula in eV per formula unit: 0.233
Energy of formation in eV/atom: -0.337

Ho12CdNi5: optimized geometry, PBE.

extended XYZ file:
```
18
Lattice="-1.0038 7.8324 -2.4401 -3.9481 -5.1083 -5.1600 -3.1779 -1.2374 7.5285" Properties=species:S:1:pos:R:3 pbc="T T T"
Ho -6.0125 -0.9286 -0.1726
Ho -2.1172 2.4153 0.1010
Ho -3.8635 5.1694 2.2260
Ho -4.2662 -3.6828 -2.2976
Ho -4.5525 1.5230 -2.3893
Ho -3.5772 -0.0363 2.3177
Ho -6.1012 -2.2839 3.1566
Ho -2.0285 3.7706 -3.2282
Ho -5.6476 2.3425 0.8590
Ho -2.4822 -0.8559 -0.9305
Ho -6.5243 -4.4554 0.4130
Ho -1.6055 5.9420 -0.4845
Cd -3.5630 -3.1729 1.1843
Ni -3.1580 1.7372 -4.8469
Ni -1.7938 0.9868 -2.7532
Ni -2.9678 2.5166 2.8357
Ni -5.1620 -1.0299 -2.9072
Ni 0.0000 0.0000 0.0000
```

Results
M_tot in μB/cell: 0.000
Theoretical density in kg/m³: 9127
Energy of formation in eV/atom: -0.319

Ho7Cd2Ni2: optimized geometry, PBE.

extended XYZ file:
```
11
Lattice="-5.8982 1.0712 -3.0503 -0.6631 -6.8618 -1.1269 -1.0868 -0.9736 6.5659" Properties=species:S:1:pos:R:3 pbc="T T T"
Ho -6.6037 -1.1034 -0.0415
Ho -4.5377 -5.6120 4.1885
Ho -1.0443 -5.6608 2.4303
Ho -3.1103 -1.1522 -1.7998
Ho 0.0000 0.0000 0.0000
Ho -3.9989 -5.1797 0.8969
Ho -3.6491 -1.5845 1.4919
Cd -6.0818 -3.3505 2.3307
Cd -1.5662 -3.4136 0.0580
Ni -5.1433 -6.3930 -1.3433
Ni -2.5047 -0.3712 3.7320
```

Results
M_tot in μB/cell: 0.000
Theoretical density in kg/m³: 8313
Energy of formation in eV/atom: -0.164

Ho12Cd6Ni: optimized geometry, PBE.

extended XYZ file:
```
19
Lattice="8.1669 0.3071 0.3679 -0.9346 8.1191 0.3679 -0.9346 -1.0889 8.0541" Properties=species:S:1:pos:R:3 pbc="T T T"
Ho 5.5413 4.3764 4.2025
Ho 2.4740 5.9855 5.0570
Ho 3.4858 3.0375 6.7928
Ho 0.7564 2.9608 4.5873
Ho 3.8237 1.3517 3.7329
Ho 2.8119 4.2997 1.9970
Ho 7.6013 0.7454 2.9140
Ho 6.7133 5.8330 0.7654
Ho 4.7478 -0.5907 7.5357
Ho -1.3036 6.5918 5.8758
Ho -0.4156 1.5043 8.0244
Ho 1.5499 7.9279 1.2541
Cd 4.3015 6.9214 2.6573
Cd 5.5880 2.8766 1.5050
Cd 0.1084 5.6700 3.0992
Cd 1.9962 0.4158 6.1325
Cd 0.7097 4.4606 7.2849
Cd 6.1893 1.6672 5.6906
Ni 0.0000 0.0000 0.0000
```

Results
M_tot in μB/cell: 0.000
Theoretical density in kg/m³: 8299
Energy of formation in eV/atom: -0.090

HoCd2Ni9: optimized geometry, PBE.

extended XYZ file:
```
12
Lattice="4.8889 0.0000 0.0000 2.4445 4.2339 0.0000 2.4445 1.4113 7.9184" Properties=species:S:1:pos:R:3 pbc="T T T"
Ho 0.0000 0.0000 0.0000
Cd 7.3334 4.2339 3.3941
Cd 2.4445 1.4113 4.5243
Ni 4.8889 2.8226 0.0091
Ni 4.8889 2.8226 7.9092
Ni 4.8889 2.8226 3.9592
Ni 3.6610 2.1137 1.9706
Ni 6.1169 2.1137 1.9706
Ni 4.8889 4.2405 1.9706
Ni 6.1169 3.5316 5.9478
Ni 4.8889 1.4047 5.9478
Ni 3.6610 3.5316 5.9478
```

Results
M_tot in μB/cell: 3.430
Theoretical density in kg/m³: 9300
Energy of formation in eV/atom: -0.167

HoCd3Ni8: optimized geometry, PBE.

extended XYZ file:
```
12
Lattice="-2.1138 -4.4616 0.0683 0.9079 -3.2178 -3.6332 5.8639 -5.4652 2.9507" Properties=species:S:1:pos:R:3 pbc="T T T"
Ho 1.1283 -8.7618 -2.0230
Cd 4.6986 -7.6710 1.2581
Cd 5.8115 -5.4409 2.9160
Cd 2.3985 -6.6045 -0.2612
Ni -0.4952 -6.6101 -0.9794
Ni 3.9643 -8.7242 -1.3476
Ni 0.5613 -4.3801 -1.0135
Ni 2.9036 -10.9630 -1.3134
Ni 2.3397 -3.8311 0.6227
Ni 4.6674 -10.4028 0.3147
Ni 1.0151 -5.9884 -2.8295
Ni 2.4480 -9.3483 0.5097
```

Results
M_tot in μB/cell: 1.019
Theoretical density in kg/m³: 9492
Energy of formation in eV/atom: -0.152

Ho3CdNi: optimized geometry, PBE.

extended XYZ file:
```
10
Lattice="5.4402 -0.2305 2.2663 1.7882 5.1431 2.2663 -0.0126 -0.0086 8.8701" Properties=species:S:1:pos:R:3 pbc="T T T"
Ho 2.2634 1.5383 9.3159
Ho 4.9523 3.3657 4.0867
Ho 0.2821 0.1917 7.0080
Ho 6.9336 4.7122 6.3946
Ho 5.0716 3.4468 9.3909
Ho 2.1441 1.4572 4.0117
Cd 4.3909 1.2998 6.7013
Cd 2.8248 3.6042 6.7013
Ni 2.8723 3.5478 2.2663
Ni 4.3560 1.3647 2.2663
```

Results
M_tot in μB/cell: 0.000
Theoretical density in kg/m³: 8774
Energy of formation in eV/atom: -0.268

Ho5Cd2Ni2: optimized geometry, PBE.

extended XYZ file:
```
18
Lattice="-2.2872 5.7000 4.1798 -5.2164 1.5243 -4.9330 -2.4955 -5.6581 6.3505" Properties=species:S:1:pos:R:3 pbc="T T T"
Ho 0.0000 0.0000 0.0000
Ho -3.7518 3.6121 -0.3766
Ho -6.6144 4.5787 0.9987
Ho -3.2753 0.3565 0.0640
Ho -6.2156 1.9463 -1.7956
Ho -3.6741 2.9889 2.8583
Ho -3.3847 -3.0126 4.5986
Ho -6.7237 1.2097 5.5333
Ho -3.7834 -0.3802 7.3929
Ho -6.3250 -1.4227 2.7390
Cd -2.2645 -2.1724 1.7234
Cd -6.0163 1.4398 1.3467
Cd -5.4473 -1.9615 -0.3058
Cd -3.9827 0.1264 4.2506
Ni -6.0103 4.8823 -1.7434
Ni -1.4932 2.3420 0.9901
Ni -3.5125 1.6365 -2.5526
Ni -3.9911 5.5878 1.7993
```

Results
M_tot in μB/cell: 0.000
Theoretical density in kg/m³: 8808
Energy of formation in eV/atom: -0.300

Ho2Cd3Ni2: optimized geometry, PBE.

extended XYZ file:
```
7
Lattice="3.6899 0.0000 0.0000 0.0000 3.8062 -0.7490 0.0000 0.0696 10.3983" Properties=species:S:1:pos:R:3 pbc="T T T"
Ho 0.0000 3.1924 6.1769
Ho 0.0000 0.6834 3.4724
Cd 1.8449 2.2117 1.1938
Cd 1.8449 1.6640 8.4555
Cd 0.0000 0.0000 0.0000
Ni 1.8449 2.7473 3.9153
Ni 1.8449 1.1284 5.7340
```

Results
M_tot in μB/cell: 0.000
Theoretical density in kg/m³: 8908
Distance to the lowest polymorph of the same formula in eV per formula unit: 0.000
Energy of formation in eV/atom: -0.370

HoCdNi4: optimized geometry, PBE.

extended XYZ file:
```
6
Lattice="-1.5810 -1.6939 -4.3912 2.2328 -3.9032 -2.1051 -2.3603 -4.3594 -0.2755" Properties=species:S:1:pos:R:3 pbc="T T T"
Ni -1.0691 -6.2302 -4.2375
Ni -0.2739 -5.3782 -2.0288
Ni -2.1921 -4.2670 -3.1786
Ni 0.1181 -4.0376 -4.0989
Ho -0.4271 -2.4891 -1.6930
Cd 0.0000 0.0000 0.0000
```

Results
M_tot in μB/cell: 0.000
Theoretical density in kg/m³: 9826
Energy of formation in eV/atom: -0.366

HoCdNi: optimized geometry, PBE.

extended XYZ file:
```
18
Lattice="3.8380 0.0000 0.0000 0.0000 7.4628 0.0000 0.0000 0.0000 12.6397" Properties=species:S:1:pos:R:3 pbc="T T T"
Ho 0.0000 1.6856 12.0596
Ho 0.0000 5.7772 0.5801
Ho 0.0000 1.6856 6.8999
Ho 0.0000 5.7772 5.7398
Ho 0.0000 1.1681 3.1599
Ho 0.0000 6.2946 9.4798
Cd 1.9190 3.2256 1.5002
Cd 1.9190 4.2372 11.1395
Cd 1.9190 3.2256 4.8197
Cd 1.9190 4.2372 7.8200
Cd 1.9190 6.0335 3.1599
Cd 1.9190 1.4293 9.4798
Ni 1.9190 0.4395 1.1318
Ni 1.9190 7.0232 11.5079
Ni 1.9190 0.4395 5.1881
Ni 1.9190 7.0232 7.4516
Ni 0.0000 4.1725 3.1599
Ni 0.0000 3.2903 9.4798
```

Results
M_tot in μB/cell: 0.000
Theoretical density in kg/m³: 9248
Energy of formation in eV/atom: -0.380

Ho3Cd2Ni: optimized geometry, PBE.

extended XYZ file:
```
12
Lattice="5.1577 0.0000 0.0000 0.0000 7.1783 -0.8402 -2.5789 -2.6569 8.3991" Properties=species:S:1:pos:R:3 pbc="T T T"
Ho 2.5902 1.7946 -0.2100
Ho 2.5675 5.3838 -0.6301
Ho -0.0002 0.2455 2.0993
Ho 2.5786 0.6868 5.8797
Ho 0.0002 3.8346 1.6792
Ho 2.5791 4.2760 5.4596
Cd 2.5781 2.1617 2.9393
Cd 2.5796 5.7509 2.5192
Cd -0.0007 -1.2294 5.0397
Cd 0.0007 2.3598 4.6196
Ni 5.1468 5.3838 -0.6301
Ni 0.0110 1.7946 -0.2100
```

Results
M_tot in μB/cell: 0.000
Theoretical density in kg/m³: 8632
Energy of formation in eV/atom: -0.271

Ho3CdNi8: optimized geometry, PBE.

extended XYZ file:
```
12
Lattice="5.0055 0.0000 0.0000 2.5028 4.3349 0.0000 2.5028 1.4450 8.2111" Properties=species:S:1:pos:R:3 pbc="T T T"
Ho 5.0055 2.8899 7.1411
Ho 7.5083 4.3349 0.1377
Ho 5.0055 2.8899 3.9862
Cd 7.5083 4.3349 3.1334
Ni 6.2690 2.1605 1.5288
Ni 6.2590 5.0562 5.6499
Ni 3.7420 2.1605 1.5288
Ni 8.7576 5.0562 5.6499
Ni 2.5028 1.4450 3.5873
Ni 7.5083 4.3349 7.6920
Ni 5.0055 4.3489 1.5288
Ni 7.5083 2.8924 5.6499
```

Results
M_tot in μB/cell: 0.000
Theoretical density in kg/m³: 10035
Energy of formation in eV/atom: -0.420

Ho2CdNi2: optimized geometry, PBE.

extended XYZ file:
```
5
Lattice="3.6001 0.0000 0.0000 0.0000 3.8053 -1.0818 0.0000 0.0413 7.3788" Properties=species:S:1:pos:R:3 pbc="T T T"
Ho 1.8001 2.4446 1.3653
Ho 1.8001 1.4020 4.9316
Cd 0.0000 0.0000 0.0000
Ni 0.0000 0.7753 2.7273
Ni 0.0000 3.0712 3.5696
```

Results
M_tot in μB/cell: 0.000
Theoretical density in kg/m³: 9179
Energy of formation in eV/atom: -0.462

HoCdNi: optimized geometry, PBE.

extended XYZ file:
```
3
Lattice="-0.3766 -1.7506 -2.9228 1.7914 -2.6031 1.3282 -5.0189 0.1214 2.5839" Properties=species:S:1:pos:R:3 pbc="T T T"
Ni -2.4461 -1.1661 1.0136
Ho -2.9955 -3.9421 0.7371
Cd -0.4734 -2.7397 -0.3080
```

Results
M_tot in μB/cell: 0.000
Theoretical density in kg/m³: 9313
Energy of formation in eV/atom: -0.255